Material: CaNi2Au
Method: DFT, PBE
State: optimized geometry

Cell: 6.369 6.369 6.369 Å, 90.00 90.00 90.00°
Element x y z (fractional)
1 Ca 0.000 0.000 0.000
2 Ca 0.000 0.500 0.500
3 Ca 0.500 0.000 0.500
4 Ca 0.500 0.500 0.000
5 Ni 0.250 0.250 0.250
6 Ni 0.250 0.250 0.750
7 Ni 0.250 0.750 0.250
8 Ni 0.250 0.750 0.750
9 Ni 0.750 0.250 0.250
10 Ni 0.750 0.250 0.750
11 Ni 0.750 0.750 0.250
12 Ni 0.750 0.750 0.750
13 Au 0.000 0.000 0.500
14 Au 0.000 0.500 0.000
15 Au 0.500 0.000 0.000
16 Au 0.500 0.500 0.500

**SG**: Fm-3m
**Total moment**: 0.00 μB/cell
**Total DFT energy (no corrections)**: -17.043 eV per formula unit



Material: Ca2Ni2Au
Method: DFT, PBE
State: optimized geometry

Cell: 5.415 5.415 7.362 Å, 90.00 90.00 90.00°
Element x y z (fractional)
1 Ca 0.000 0.500 0.250
2 Ca 0.000 0.500 0.750
3 Ca 0.500 0.000 0.250
4 Ca 0.500 0.000 0.750
5 Ni 0.000 0.000 0.154
6 Ni 0.000 0.000 0.846
7 Ni 0.500 0.500 0.346
8 Ni 0.500 0.500 0.654
9 Au 0.000 0.000 0.500
10 Au 0.500 0.500 0.000

**SG**: I4/mmm
**Excess energy over the best structure of this formula in the dataset**: 84.3 kJ/mol of formula units
**Total moment**: 0.00 μB/cell
**Total DFT energy (no corrections)**: -19.449 eV per formula unit



Material: CaNi2Au
Method: DFT, PBE
State: optimized geometry

Cell: 4.113 4.113 3.804 Å, 90.00 90.00 90.00°
Element x y z (fractional)
1 Ca 0.000 0.000 0.000
2 Ni 0.000 0.500 0.500
3 Ni 0.500 0.000 0.500
4 Au 0.500 0.500 0.000

**SG**: P4/mmm
**Total moment**: 0.30 μB/cell
**Total DFT energy (no corrections)**: -17.150 eV per formula unit



Material: Ca3NiAu
Method: DFT, PBE
State: optimized geometry

Cell: 8.184 8.184 8.365 Å, 92.09 92.09 28.57°
Element x y z (fractional)
1 Ca 0.054 0.054 0.188
2 Ca 0.243 0.243 0.809
3 Ca 0.392 0.392 0.440
4 Ca 0.608 0.608 0.560
5 Ca 0.757 0.757 0.191
6 Ca 0.946 0.946 0.812
7 Ni 0.218 0.218 0.447
8 Ni 0.782 0.782 0.553
9 Au 0.402 0.402 0.074
10 Au 0.598 0.598 0.926

**SG**: C2/m
**Excess energy over the best structure of this formula in the dataset**: 0.0 kJ/mol of formula units
**Total moment**: 0.00 μB/cell
**Total DFT energy (no corrections)**: -17.068 eV per formula unit



Material: CaNiAu2
Method: DFT, PBE
State: optimized geometry

Cell: 6.711 6.711 6.711 Å, 90.00 90.00 90.00°
Element x y z (fractional)
1 Ca 0.000 0.000 0.000
2 Ca 0.000 0.500 0.500
3 Ca 0.500 0.000 0.500
4 Ca 0.500 0.500 0.000
5 Ni 0.000 0.000 0.500
6 Ni 0.000 0.500 0.000
7 Ni 0.500 0.000 0.000
8 Ni 0.500 0.500 0.500
9 Au 0.250 0.250 0.250
10 Au 0.250 0.250 0.750
11 Au 0.250 0.750 0.250
12 Au 0.250 0.750 0.750
13 Au 0.750 0.250 0.250
14 Au 0.750 0.250 0.750
15 Au 0.750 0.750 0.250
16 Au 0.750 0.750 0.750

**SG**: Fm-3m
**Total moment**: 0.00 μB/cell
**Total DFT energy (no corrections)**: -15.328 eV per formula unit



Material: Ca2Ni2Au
Method: DFT, PBE
State: optimized geometry

Cell: 3.465 3.465 17.052 Å, 90.00 90.00 90.00°
Element x y z (fractional)
1 Ca 0.000 0.000 0.115
2 Ca 0.000 0.000 0.885
3 Ca 0.500 0.500 0.385
4 Ca 0.500 0.500 0.615
5 Ni 0.000 0.500 0.250
6 Ni 0.000 0.500 0.750
7 Ni 0.500 0.000 0.250
8 Ni 0.500 0.000 0.750
9 Au 0.000 0.000 0.500
10 Au 0.500 0.500 0.000

**SG**: I4/mmm
**Excess energy over the best structure of this formula in the dataset**: 43.1 kJ/mol of formula units
**Total moment**: 1.30 μB/cell
**Total DFT energy (no corrections)**: -19.876 eV per formula unit



Material: CaNi2Au2
Method: DFT, PBE
State: optimized geometry

Cell: 4.252 4.252 10.276 Å, 90.00 90.00 90.00°
Element x y z (fractional)
1 Ca 0.000 0.000 0.000
2 Ca 0.500 0.500 0.500
3 Ni 0.000 0.000 0.392
4 Ni 0.000 0.000 0.608
5 Ni 0.500 0.500 0.108
6 Ni 0.500 0.500 0.892
7 Au 0.000 0.500 0.250
8 Au 0.000 0.500 0.750
9 Au 0.500 0.000 0.250
10 Au 0.500 0.000 0.750

**SG**: I4/mmm
**Excess energy over the best structure of this formula in the dataset**: 22.8 kJ/mol of formula units
**Total moment**: 0.00 μB/cell
**Total DFT energy (no corrections)**: -20.853 eV per formula unit



Material: CaNiAu2
Method: DFT, PBE
State: optimized geometry

Cell: 3.680 4.328 5.403 Å, 90.00 90.47 90.00°
Element x y z (fractional)
1 Ca 0.000 0.000 0.000
2 Ni 0.500 0.000 0.500
3 Au 0.499 0.500 0.750
4 Au 0.501 0.500 0.250

**SG**: P2/m
**Total moment**: 0.00 μB/cell
**Total DFT energy (no corrections)**: -15.332 eV per formula unit



Material: CaNi2Au
Method: DFT, PBE
State: optimized geometry

Cell: 7.516 4.344 5.361 Å, 90.00 118.29 90.00°
Element x y z (fractional)
1 Ca 0.000 0.000 0.000
2 Ca 0.500 0.500 0.000
3 Ni 0.188 0.000 0.563
4 Ni 0.312 0.500 0.437
5 Ni 0.688 0.500 0.563
6 Ni 0.812 0.000 0.437
7 Au 0.000 0.500 0.500
8 Au 0.500 0.000 0.500

**SG**: C2/m
**Total moment**: 0.37 μB/cell
**Total DFT energy (no corrections)**: -17.675 eV per formula unit



Material: CaNi2Au2
Method: DFT, PBE
State: optimized geometry

Cell: 7.531 7.531 3.021 Å, 90.00 90.00 90.00°
Element x y z (fractional)
1 Ca 0.000 0.000 0.000
2 Ca 0.500 0.500 0.000
3 Ni 0.157 0.343 0.500
4 Ni 0.343 0.843 0.500
5 Ni 0.657 0.157 0.500
6 Ni 0.843 0.657 0.500
7 Au 0.139 0.639 0.000
8 Au 0.361 0.139 0.000
9 Au 0.639 0.861 0.000
10 Au 0.861 0.361 0.000

**SG**: P4/mbm
**Excess energy over the best structure of this formula in the dataset**: 47.4 kJ/mol of formula units
**Total moment**: 0.00 μB/cell
**Total DFT energy (no corrections)**: -20.598 eV per formula unit



Material: CaNi2Au
Method: DFT, PBE
State: optimized geometry

Cell: 3.192 3.192 6.650 Å, 90.00 90.00 90.00°
Element x y z (fractional)
1 Ca 0.000 0.000 0.000
2 Ni 0.000 0.000 0.443
3 Ni 0.500 0.500 0.296
4 Au 0.500 0.500 0.686

**SG**: P4mm
**Total moment**: 0.77 μB/cell
**Total DFT energy (no corrections)**: -17.063 eV per formula unit



Material: Ca2NiAu
Method: DFT, PBE
State: optimized geometry

Cell: 3.526 3.543 7.123 Å, 90.00 90.06 90.00°
Element x y z (fractional)
1 Ca 0.001 0.000 0.265
2 Ca 0.999 0.000 0.735
3 Ni 0.500 0.500 0.500
4 Au 0.500 0.500 0.000

**SG**: P2/m
**Total moment**: 0.00 μB/cell
**Total DFT energy (no corrections)**: -14.589 eV per formula unit



Q: Look up the total DFT energy (no corrections) of the first one.
A: -17.043 eV per formula unit



Q: Among the records above, which one has the highest total moment?
A: number 6



Q: What is the formula in the fifth record?
A: CaNiAu2